Here is a relaxed structure of BaCaTcAg2 from the Alexandria database. Energies are from GGA-PBEsol.

Calculated values
Space-group type: P4/mmm, No. 123
ΔH_f (0 K) in eV per atom: 1.4162

Geometry as CIF:
```
data_BaCaTcAg2
_chemical_formula_sum 'Ba1 Ca1 Tc1 Ag2'
_space_group_name_H-M_alt 'P 1'
_space_group_IT_number 1
_space_group_name_Hall 'P 1'
_cell_length_a 5.6346
_cell_length_b 5.6346
_cell_length_c 5.0489
_cell_angle_alpha 90.00
_cell_angle_beta 90.00
_cell_angle_gamma 90.00
loop_
_atom_site_label
_atom_site_fract_x
_atom_site_fract_y
_atom_site_fract_z
Ba1 0.0000 0.0000 0.0000
Ca1 0.5000 0.5000 0.5000
Tc1 0.0000 0.0000 0.5000
Ag1 0.0000 0.5000 0.0000
Ag2 0.5000 0.0000 0.0000
```